1.
Material: Be3Mo
Method: DFT, PBE
State: optimized geometry

The space group is R-3m (No. 166, hexagonal axes) and the conventional cell measures 2.5922, 2.5922 and 23.5056 Å, with angles of 90.00, 90.00 and 120.00 degrees. The asymmetric unit holds Be at (0.0000, 0.0000, 0.0000), Be at (0.0000, 0.0000, 0.2564) and Mo at (0.0000, 0.0000, 0.5000).

The calculation puts the calculated total energy at -0.3749 Ry per atom. As for the excess energy over the best structure of this formula in the dataset: 634 meV per atom. As for the density of states at the Fermi level: 4.54 states/eV per cell.

***

2.
Material: LaCuOsRu2
Method: DFT, PBE
State: optimized geometry

The space group is P4/mmm (No. 123) and the conventional cell measures 4.511, 4.511 and 4.936 Å, with angles of 90.00, 90.00 and 90.00 degrees. The asymmetric unit holds La at (0.000, 0.000, 0.000), Cu at (0.000, 0.000, 0.500), Os at (0.500, 0.500, 0.000) and Ru at (0.000, 0.500, 0.500).

The calculation puts the calculated total energy at -0.4615 Ry per atom. As for the density of states at the Fermi level: 8.34 states/eV per cell.

***

3.
Material: Fe3Co2
Method: DFT, PBE
State: optimized geometry

The space group is Fmmm (No. 69) and the conventional cell measures 2.838, 4.050 and 20.015 Å, with angles of 90.00, 90.00 and 90.00 degrees. The asymmetric unit holds Fe at (0.000, 0.000, 0.000), Fe at (0.000, 0.000, 0.199) and Co at (0.000, 0.000, 0.400).

The calculation puts the calculated total energy at -0.5828 Ry per atom. As for the excess energy over the best structure of this formula in the dataset: 40 meV per atom. As for the density of states at the Fermi level: 15.10 states/eV per cell.

***

4.
Material: RbDyAgF6
Method: DFT, PBE
State: optimized geometry

The space group is Imma (No. 74) and the conventional cell measures 7.811, 8.301 and 12.116 Å, with angles of 90.00, 90.00 and 90.00 degrees. The asymmetric unit holds Rb at (0.000, 0.250, 0.034), Dy at (0.000, 0.000, 0.500), Ag at (0.250, 0.250, 0.750), F at (0.000, 0.250, 0.438), F at (0.000, 0.250, 0.800) and F at (0.214, 0.062, 0.609).

The calculation puts the calculated total energy at -0.3658 Ry per atom. For the formation energy (no corrections), the calculation gives -2.794 eV per atom. As for the density of states at the Fermi level: 16.72 states/eV per cell.

***

5.
Material: NpCrSb
Method: DFT, PBE
State: optimized geometry

The space group is C2/m (No. 12) and the conventional cell measures 11.246, 4.525 and 4.627 Å, with angles of 90.00, 93.73 and 90.00 degrees. The asymmetric unit holds Np at (0.074, 0.000, 0.322), Cr at (0.225, 0.000, 0.625) and Sb at (0.127, 0.500, 0.841).

The calculation puts the calculated total energy at -0.6477 Ry per atom. For the formation energy (no corrections), the calculation gives 0.083 eV per atom. As for the density of states at the Fermi level: 17.23 states/eV per cell.

***

- Among the records above, which one has the highest calculated total energy?
  RbDyAgF6

***

- Among the records above, which one has the lowest calculated total energy?
  NpCrSb